1.
A plane-wave DFT calculation with PBE was carried out for a relaxed Rb2Ce2MnSe6 crystal.

Calculated values
magnetization	5.11	μB/cell
formation energy without anion corrections	-1.3317	eV per atom
V	33.08	Å³ per atom
space-group type	C2/m
Fermi-level density of states	2.71	states/eV per cell
ρ	4.47	Mg/m³
energy	-0.196	hartree per atom

Cell and atoms, written as POSCAR:
```
Rb2Ce2MnSe6
1.0
3.5934 -6.2099 0.0000
3.5934 6.2099 0.0000
-2.4007 0.0000 8.1546
Rb Ce Mn Se
2 2 1 6
direct
0.1674 0.8326 0.0000
0.8326 0.1674 0.0000
0.3335 0.6665 0.5000
0.6665 0.3335 0.5000
0.0000 0.0000 0.5000
0.0632 0.3854 0.6878
0.2532 0.2532 0.3158
0.3854 0.0632 0.6878
0.6146 0.9368 0.3122
0.7468 0.7468 0.6842
0.9368 0.6146 0.3122
```

***

2.
A plane-wave DFT calculation with PBE was carried out for a relaxed CeMnRe crystal.

Calculated values
magnetization	0.00	μB/cell
V	17.31	Å³ per atom
E_form	11.1	meV/atom
space-group type	Imma
Fermi-level density of states	6.29	states/eV per cell
ρ	12.19	Mg/m³
energy	-0.337	hartree per atom

Cell and atoms, written as POSCAR:
```
CeMnRe
1.0
-2.7797 2.8675 3.2570
2.7797 -2.8675 3.2570
2.7797 2.8675 -3.2570
Ce Mn Re
2 2 2
direct
0.3890 0.1390 0.2500
0.6110 0.8610 0.7500
0.0000 0.5000 0.5000
0.5000 0.5000 0.0000
0.0000 0.0000 0.5000
0.0000 0.5000 0.0000
```

***

3.
A plane-wave DFT calculation with PBE was carried out for a relaxed Ce6MnRh10 crystal.

Calculated values
magnetization	2.76	μB/cell
V	19.13	Å³ per atom
E_form	-537.8	meV/atom
space-group type	P-31m
Fermi-level density of states	14.89	states/eV per cell
ρ	9.83	Mg/m³
energy	-0.275	hartree per atom

Cell and atoms, written as POSCAR:
```
Ce6MnRh10
1.0
7.9208 0.0000 0.0000
-3.9604 6.8596 0.0000
0.0000 0.0000 5.9863
Ce Mn Rh
6 1 10
direct
0.0000 0.3799 0.2301
0.0000 0.6201 0.7699
0.3799 0.0000 0.2301
0.3799 0.3799 0.7699
0.6201 0.0000 0.7699
0.6201 0.6201 0.2301
0.0000 0.0000 0.0000
0.0000 0.2412 0.6859
0.0000 0.7588 0.3141
0.2412 0.0000 0.6859
0.2412 0.2412 0.3141
0.3333 0.6667 0.0000
0.3333 0.6667 0.5000
0.6667 0.3333 0.0000
0.6667 0.3333 0.5000
0.7588 0.0000 0.3141
0.7588 0.7588 0.6859
```

***

4.
A plane-wave DFT calculation with PBE was carried out for a relaxed Ce2MnRh9 crystal.

Calculated values
magnetization	3.93	μB/cell
V	15.87	Å³ per atom
E_form	-442.6	meV/atom
space-group type	P4/mmm
Fermi-level density of states	11.10	states/eV per cell
ρ	11.00	Mg/m³
energy	-0.283	hartree per atom

Cell and atoms, written as POSCAR:
```
Ce2MnRh9
1.0
3.9983 0.0000 0.0000
0.0000 3.9983 0.0000
0.0000 0.0000 11.9113
Ce Mn Rh
2 1 9
direct
0.0000 0.0000 0.1726
0.0000 0.0000 0.8274
0.0000 0.0000 0.5000
0.0000 0.5000 0.0000
0.0000 0.5000 0.3481
0.0000 0.5000 0.6519
0.5000 0.0000 0.0000
0.5000 0.0000 0.3481
0.5000 0.0000 0.6519
0.5000 0.5000 0.1738
0.5000 0.5000 0.5000
0.5000 0.5000 0.8262
```

***

Repeat the fourth record exactly.
A plane-wave DFT calculation with PBE was carried out for a relaxed Ce2MnRh9 crystal.

Calculated values
magnetization	3.93	μB/cell
V	15.87	Å³ per atom
E_form	-442.6	meV/atom
space-group type	P4/mmm
Fermi-level density of states	11.10	states/eV per cell
ρ	11.00	Mg/m³
energy	-0.283	hartree per atom

Cell and atoms, written as POSCAR:
```
Ce2MnRh9
1.0
3.9983 0.0000 0.0000
0.0000 3.9983 0.0000
0.0000 0.0000 11.9113
Ce Mn Rh
2 1 9
direct
0.0000 0.0000 0.1726
0.0000 0.0000 0.8274
0.0000 0.0000 0.5000
0.0000 0.5000 0.0000
0.0000 0.5000 0.3481
0.0000 0.5000 0.6519
0.5000 0.0000 0.0000
0.5000 0.0000 0.3481
0.5000 0.0000 0.6519
0.5000 0.5000 0.1738
0.5000 0.5000 0.5000
0.5000 0.5000 0.8262
```

***

> Among the records above, which one has the lowest ρ?

Rb2Ce2MnSe6

***

> The highest Fermi-level density of states belongs to which entry?

Ce6MnRh10

***

> Look up the Fermi-level density of states of the first one.

2.71 states/eV per cell